# 1
Computed, not measured: crystalline LiTaNbAg2O6 at its relaxed geometry at the PBE level of DFT.

Cell: 4.0651 4.1284 8.2217 Å, 90.00 90.00 90.00°
Last column: nearest neighbours and their distance in Å.
Element x y z (fractional)
O  0.5000  0.0000  0.2699  2 Ta 2.06
O  0.5000  0.5000  0.0161  2 Li 2.04, 1 Ta 2.07, 1 Nb 2.21
Li  0.0000  0.5000  0.0375  3 O 1.84-2.04
O  0.5000  0.5000  0.5068  1 Ta 1.96, 1 Nb 1.98
Ag  0.0000  0.0000  0.9083  2 Li 2.32, 4 O 2.41-2.43
Ta  0.5000  0.5000  0.2678  6 O 1.96-2.07
O  0.0000  0.5000  0.2608  1 Li 1.84, 2 Ta 2.03
Nb  0.5000  0.5000  0.7472  6 O 1.98-2.21
O  0.5000  0.0000  0.7453  2 Nb 2.06
O  0.0000  0.5000  0.7564  2 Nb 2.03
Ag  0.0000  0.0000  0.4839  10 O 2.69-2.96

Computed properties:
Space group ... Pmm2, No. 25
E_form (uncorrected) ... -1.69 eV per atom

=====

# 2
Computed, not measured: crystalline Ba2H6Pd2Pb at its relaxed geometry at the PBE level of DFT.

Cell: 4.8276 6.1192 7.6735 Å, 115.63 90.00 113.23°
Last column: nearest neighbours and their distance in Å.
Element x y z (fractional)
Ba  0.3100  0.6201  0.7823  5 H 2.69-2.79
H  0.1874  0.3747  0.3708  1 Pd 1.83
Pd  0.0089  0.0179  0.3089  3 H 1.66-1.83
H  0.3265  0.1552  0.8507  1 Pd 1.66
Pd  0.9911  0.9821  0.6911  3 H 1.66-1.83
Ba  0.6900  0.3799  0.2177  5 H 2.69-2.79
Pb  0.5000  0.0000  0.5000  4 H 2.69, 4 Pd 2.85
H  0.6735  0.8448  0.1493  1 Pd 1.66
H  0.8287  0.1552  0.8507  1 Pd 1.66
H  0.8126  0.6253  0.6292  1 Pd 1.83
H  0.1713  0.8448  0.1493  1 Pd 1.66

Computed properties:
Space group ... C2/m, No. 12
Total DFT energy (no corrections) ... -3.7703 eV/atom

=====

# 3
Computed, not measured: crystalline LaCuRe at its relaxed geometry at the PBE level of DFT.

Cell: 2.8964 2.8964 7.7156 Å, 90.00 90.00 120.00°
Last column: nearest neighbours and their distance in Å.
Element x y z (fractional)
Cu  0.0000  0.0000  0.9672  3 Re 2.66, 6 Cu 2.90
La  0.6667  0.3333  0.3336  6 La 2.90
Re  0.3333  0.6667  0.6992  3 Cu 2.66, 6 Re 2.90

Computed properties:
Formation enthalpy at 0 K ... 0.713 eV per atom
Space group ... P3m1, No. 156

=====

# 4
Computed, not measured: crystalline ScTlBr2 at its relaxed geometry at the PBE level of DFT.

Cell: 5.3294 5.3294 5.3294 Å, 60.00 60.00 60.00°
Last column: nearest neighbours and their distance in Å.
Element x y z (fractional)
Tl  0.5000  0.5000  0.5000  8 Br 3.26
Br  0.7500  0.7500  0.7500  4 Tl 3.26, 4 Sc 3.26
Sc  0.0000  0.0000  0.0000  8 Br 3.26
Br  0.2500  0.2500  0.2500  4 Tl 3.26, 4 Sc 3.26

Computed properties:
Space group ... Fm-3m, No. 225
E_form (uncorrected) ... -0.54 eV per atom

=====

V for every record listed, in sequence, given in A^3/atom: 12.54 16.71 18.69 26.76.
M_tot for every record listed, in sequence, given in μB/cell: 0.4 0.0 0.0 1.7.